No. 1
A relaxed YTeOs2 crystal, computed with PBE.

Output
- Density of states at the Fermi level: 8.4 states/eV per cell
- Uncorrected formation energy: 30.6 kJ/mol of atoms
- Symmetry: No. 44
- VASP energy: -61.6 eV/cell
- Magnetization: 0.0 μB/cell

```
YTeOs2
1.0
3.231 0.000 0.000
0.000 4.843 0.000
0.000 0.000 9.865
Y Te Os
2 2 4
direct
0.000 0.000 0.000
0.500 0.500 0.500
0.000 0.500 0.773
0.500 0.000 0.273
0.000 0.000 0.500
0.000 0.500 0.217
0.500 0.000 0.717
0.500 0.500 0.000
```


No. 2
A relaxed MoC crystal, computed with PBE.

Output
- Formation energy: 0.216 eV/atom
- Energy above the lowest structure with this stoichiometry: 0.62 eV/f.u.
- Density of states at the Fermi level: 7.0 states/eV per cell
- Symmetry: No. 225
- VASP energy: -78.5 eV/cell
- Magnetization: 0.0 μB/cell

```
MoC
1.0
4.383 0.000 0.000
0.000 4.383 0.000
0.000 0.000 4.383
Mo C
4 4
direct
0.000 0.000 0.000
0.000 0.500 0.500
0.500 0.000 0.500
0.500 0.500 0.000
0.000 0.000 0.500
0.000 0.500 0.000
0.500 0.000 0.000
0.500 0.500 0.500
```